{"formula": "HoB4Ir", "functional": "PBE-GGA", "state": "relaxed", "relative_energy_mev_per_atom": 0, "crystal_system": "hexagonal", "dft_energy_ev_per_cell": -41.4, "magnetic_moment_mub_per_fu": 0.004, "density_g_cm3": 10.9, "cell": [[3.247, 0.000, 0.000], [-1.624, 2.812, 0.000], [0.000, 0.000, 6.672]], "species": ["B", "B", "B", "B", "Ho", "Ir"], "frac_coords": [[0.667, 0.333, 0.220], [0.333, 0.667, 0.220], [0.667, 0.333, 0.780], [0.333, 0.667, 0.780], [0.000, 0.000, 0.500], [0.000, 0.000, 0.000]]}